Material: HfZn2H
Method: DFT, PBE
State: optimized geometry

Values from the calculation:
The space group is I-42d (122). Its density of states at the Fermi level is 0.685 states/eV/atom. The energy above the most stable polymorph in this dataset comes out at 348.2 meV/atom.

Lattice parameters (Å, degrees): 5.530 5.530 5.421 59.34 59.34 90.00
Element x y z (fractional)
H 0.500 0.500 0.000
H 0.250 0.750 0.500
Zn 0.452 0.125 0.250
Zn 0.298 0.625 0.250
Zn 0.375 0.548 0.750
Zn 0.875 0.702 0.750
Hf 0.000 0.000 0.000
Hf 0.750 0.250 0.500

Material: PrNd2Dy9
Method: DFT, PBE
State: optimized geometry

Values from the calculation:
The space group is P6/mmm (191). Its density of states at the Fermi level is 1.475 states/eV/atom. The energy above the most stable polymorph in this dataset comes out at 35.4 meV/atom.

Lattice parameters (Å, degrees): 3.525 11.326 11.326 120.00 90.00 90.00
Element x y z (fractional)
Pr 0.000 0.000 0.000
Nd 0.000 0.333 0.667
Nd 0.000 0.667 0.333
Dy 0.000 0.000 0.500
Dy 0.000 0.500 0.500
Dy 0.000 0.500 0.000
Dy 0.500 0.351 0.176
Dy 0.500 0.176 0.824
Dy 0.500 0.176 0.351
Dy 0.500 0.824 0.649
Dy 0.500 0.824 0.176
Dy 0.500 0.649 0.824

Material: Pr2MgN
Method: DFT, PBE
State: optimized geometry

Values from the calculation:
The space group is R3m (160). Its density of states at the Fermi level is 0.869 states/eV/atom. The energy above the most stable polymorph in this dataset comes out at 0.0 meV/atom.

Lattice parameters (Å, degrees): 3.641 3.641 9.102 78.46 78.46 60.00
Element x y z (fractional)
Pr 0.053 0.053 0.842
Pr 0.280 0.280 0.160
Mg 0.500 0.500 0.499
N 0.667 0.667 0.999

Material: Be2SiAu
Method: DFT, PBE
State: optimized geometry

Values from the calculation:
The calculation puts the total energy at -3.781 eV per atom. The space group is P4mm (99). Its density of states at the Fermi level is 0.243 states/eV/atom.

Lattice parameters (Å, degrees): 2.773 2.773 6.898 90.00 90.00 90.04
Element x y z (fractional)
Be 0.000 0.000 0.038
Be 0.500 0.500 0.216
Si 0.000 0.000 0.422
Au 0.500 0.500 0.824